[1]
Compound: Sc3Te2Se
Source: Alexandria via LeMat-Bulk
Functional: PBE-GGA
Structure: optimized geometry

Results
* E_tot: -6.075 eV per atom
* crystal system: monoclinic
* space-group type: C2/m
* formation energy from raw total energies: -1281 meV per atom

```
data_Sc3Te2Se
_chemical_formula_sum 'Sc6 Te4 Se2'
_cell_length_a 7.0324
_cell_length_b 7.0642
_cell_length_c 7.0474
_cell_angle_alpha 80.46
_cell_angle_beta 60.07
_cell_angle_gamma 70.60
_space_group_name_H-M_alt 'P 1'
_space_group_IT_number 1
_space_group_name_Hall 'P 1'
loop_
_atom_site_label
_atom_site_fract_x
_atom_site_fract_y
_atom_site_fract_z
Te1 0.0000 0.0000 0.0000
Se1 0.6696 0.0000 0.6608
Sc1 0.4342 0.7771 0.6421
Sc2 0.0763 0.7771 0.3579
Sc3 0.2910 0.2110 0.0000
Te2 0.5000 0.5000 0.0000
Sc4 0.5658 0.2229 0.3579
Se2 0.3304 0.0000 0.3392
Sc5 0.7090 0.7890 0.0000
Te3 0.8428 0.5000 0.3144
Te4 0.1572 0.5000 0.6856
Sc6 0.9237 0.2229 0.6421
```


[2]
Compound: ScTeSe2
Source: Alexandria via LeMat-Bulk
Functional: PBE-GGA
Structure: optimized geometry

Results
* E_tot: -4.815 eV per atom
* crystal system: trigonal
* space-group type: R-3m
* formation energy from raw total energies: -704 meV per atom

```
data_ScTeSe2
_chemical_formula_sum 'Sc1 Te1 Se2'
_cell_length_a 8.7456
_cell_length_b 8.7456
_cell_length_c 8.7456
_cell_angle_alpha 24.35
_cell_angle_beta 24.35
_cell_angle_gamma 24.35
_space_group_name_H-M_alt 'P 1'
_space_group_IT_number 1
_space_group_name_Hall 'P 1'
loop_
_atom_site_label
_atom_site_fract_x
_atom_site_fract_y
_atom_site_fract_z
Sc1 0.7500 0.7500 0.7500
Te1 0.2500 0.2500 0.2500
Se1 0.0192 0.0192 0.0192
Se2 0.4808 0.4808 0.4808
```


[3]
Compound: Sc2TeSe2
Source: Alexandria via LeMat-Bulk
Functional: PBE-GGA
Structure: optimized geometry

Results
* E_tot: -5.870 eV per atom
* crystal system: tetragonal
* space-group type: P4/mbm
* formation energy from raw total energies: -1315 meV per atom

```
data_Sc2TeSe2
_chemical_formula_sum 'Sc4 Te2 Se4'
_cell_length_a 7.8792
_cell_length_b 7.8792
_cell_length_c 3.4924
_cell_angle_alpha 90.00
_cell_angle_beta 90.00
_cell_angle_gamma 90.00
_space_group_name_H-M_alt 'P 1'
_space_group_IT_number 1
_space_group_name_Hall 'P 1'
loop_
_atom_site_label
_atom_site_fract_x
_atom_site_fract_y
_atom_site_fract_z
Te1 0.0000 0.0000 0.0000
Sc1 0.3481 0.8481 0.0000
Se1 0.8636 0.3636 0.5000
Sc2 0.6519 0.1519 0.0000
Se2 0.1364 0.6364 0.5000
Sc3 0.1519 0.3481 0.0000
Sc4 0.8481 0.6519 0.0000
Se3 0.3636 0.1364 0.5000
Se4 0.6364 0.8636 0.5000
Te2 0.5000 0.5000 0.0000
```


[4]
Compound: ScTeSe2
Source: Alexandria via LeMat-Bulk
Functional: PBE-GGA
Structure: optimized geometry

Results
* E_tot: -4.801 eV per atom
* crystal system: orthorhombic
* space-group type: Immm
* formation energy from raw total energies: -690 meV per atom

```
data_ScTeSe2
_chemical_formula_sum 'Sc1 Te1 Se2'
_cell_length_a 6.7236
_cell_length_b 6.7236
_cell_length_c 6.7236
_cell_angle_alpha 145.54
_cell_angle_beta 136.68
_cell_angle_gamma 56.49
_space_group_name_H-M_alt 'P 1'
_space_group_IT_number 1
_space_group_name_Hall 'P 1'
loop_
_atom_site_label
_atom_site_fract_x
_atom_site_fract_y
_atom_site_fract_z
Se1 0.0984 0.0984 0.0000
Se2 0.4016 0.4016 0.0000
Te1 0.7500 0.2500 0.5000
Sc1 0.2500 0.7500 0.5000
```


[5]
Compound: ScTeSe2
Source: Alexandria via LeMat-Bulk
Functional: PBE-GGA
Structure: optimized geometry

Results
* E_tot: -4.552 eV per atom
* crystal system: tetragonal
* space-group type: P4/mmm
* formation energy from raw total energies: -441 meV per atom

```
data_ScTeSe2
_chemical_formula_sum 'Sc1 Te1 Se2'
_cell_length_a 3.6010
_cell_length_b 4.9662
_cell_length_c 4.9662
_cell_angle_alpha 90.00
_cell_angle_beta 90.00
_cell_angle_gamma 90.00
_space_group_name_H-M_alt 'P 1'
_space_group_IT_number 1
_space_group_name_Hall 'P 1'
loop_
_atom_site_label
_atom_site_fract_x
_atom_site_fract_y
_atom_site_fract_z
Se1 0.0000 0.5000 0.5000
Sc1 0.5000 0.0000 0.5000
Te1 0.5000 0.5000 0.0000
Se2 0.0000 0.0000 0.0000
```


[6]
Compound: ScTe2Se
Source: Alexandria via LeMat-Bulk
Functional: PBE-GGA
Structure: optimized geometry

Results
* E_tot: -4.302 eV per atom
* crystal system: orthorhombic
* space-group type: Cmmm
* formation energy from raw total energies: -278 meV per atom

```
data_ScTe2Se
_chemical_formula_sum 'Sc1 Te2 Se1'
_cell_length_a 3.2472
_cell_length_b 3.2472
_cell_length_c 10.6891
_cell_angle_alpha 90.00
_cell_angle_beta 90.00
_cell_angle_gamma 102.77
_space_group_name_H-M_alt 'P 1'
_space_group_IT_number 1
_space_group_name_Hall 'P 1'
loop_
_atom_site_label
_atom_site_fract_x
_atom_site_fract_y
_atom_site_fract_z
Te1 0.0000 0.0000 0.0553
Se1 0.5000 0.5000 0.7500
Te2 0.0000 0.0000 0.4447
Sc1 0.5000 0.5000 0.2500
```